No. 1
VASP calculation (PBE) on SrPaAlS6 after structural relaxation.

Calculated values
The calculation puts the volume at 25.31 Å³ per atom. For the uncorrected formation energy, the calculation gives -1044 meV/atom. As for the total moment: 0.152 μB per atom. As for the symmetry: P312.

Cell lengths 6.723, 6.723, 5.820 Å; angles 90.00, 90.00, 120.00 degrees
Atoms (fractional coordinates):
Sr: 0.000 0.000 0.000
Pa: 0.667 0.333 0.500
Al: 0.333 0.667 0.000
S: 0.014 0.402 0.236
S: 0.014 0.612 0.764
S: 0.388 0.402 0.764
S: 0.388 0.986 0.236
S: 0.598 0.612 0.236
S: 0.598 0.986 0.764



No. 2
VASP calculation (PBE) on Ag2PtBr after structural relaxation.

Calculated values
The calculation puts the volume at 18.98 Å³ per atom. For the uncorrected formation energy, the calculation gives 393 meV/atom. As for the total moment: 0.000 μB per atom. As for the symmetry: F-43m. The energy above the most stable polymorph in this dataset is 261 meV/atom.

Cell lengths 4.752, 4.752, 4.752 Å; angles 60.00, 60.00, 60.00 degrees
Atoms (fractional coordinates):
Ag: 0.000 0.000 0.000
Ag: 0.250 0.250 0.250
Pt: 0.500 0.500 0.500
Br: 0.750 0.750 0.750



No. 3
VASP calculation (PBE) on Hf2Zr3Os2 after structural relaxation.

Calculated values
The calculation puts the volume at 20.71 Å³ per atom. As for the total moment: 0.000 μB per atom. The value obtained for the formation energy is -0.272 eV/atom. As for the symmetry: C2/m.

Cell lengths 5.859, 5.859, 8.716 Å; angles 115.15, 115.15, 32.72 degrees
Atoms (fractional coordinates):
Hf: 0.157 0.157 0.331
Hf: 0.843 0.843 0.669
Zr: 0.390 0.390 0.063
Zr: 0.500 0.500 0.500
Zr: 0.610 0.610 0.937
Os: 0.185 0.185 0.744
Os: 0.815 0.815 0.256



No. 4
VASP calculation (PBE) on In4F after structural relaxation.

Calculated values
The calculation puts the volume at 26.20 Å³ per atom. For the uncorrected formation energy, the calculation gives -475 meV/atom. As for the total moment: 0.000 μB per atom. As for the symmetry: Pm-3m.

Cell lengths 5.079, 5.079, 5.079 Å; angles 90.00, 90.00, 90.00 degrees
Atoms (fractional coordinates):
In: 0.000 0.000 0.000
In: 0.000 0.500 0.500
In: 0.500 0.000 0.500
In: 0.500 0.500 0.000
F: 0.500 0.500 0.500



No. 5
VASP calculation (PBE) on Re3P after structural relaxation.

Calculated values
The calculation puts the volume at 14.87 Å³ per atom. As for the total moment: 0.000 μB per atom. The value obtained for the formation energy is 0.062 eV/atom. As for the symmetry: Imm2. The energy above the most stable polymorph in this dataset is 183 meV/atom.

Cell lengths 5.424, 5.424, 5.424 Å; angles 149.00, 57.21, 133.19 degrees
Atoms (fractional coordinates):
Re: 0.000 0.000 0.000
Re: 0.033 0.743 0.290
Re: 0.453 0.743 0.710
P: 0.556 0.056 0.500



No. 6
VASP calculation (PBE) on Sr2ScCdC after structural relaxation.

Calculated values
The calculation puts the volume at 33.63 Å³ per atom. As for the total moment: 0.440 μB per atom. The value obtained for the formation energy is 1.043 eV/atom. As for the symmetry: P4/mmm.

Cell lengths 6.470, 6.470, 4.017 Å; angles 90.00, 90.00, 90.00 degrees
Atoms (fractional coordinates):
Sr: 0.000 0.500 0.000
Sr: 0.500 0.000 0.000
Sc: 0.000 0.000 0.500
Cd: 0.500 0.500 0.000
C: 0.500 0.500 0.500



No. 7
VASP calculation (PBE) on AgPbSe after structural relaxation.

Calculated values
The calculation puts the volume at 24.53 Å³ per atom. For the uncorrected formation energy, the calculation gives 17 meV/atom. As for the total moment: 0.000 μB per atom. As for the symmetry: I4mm.

Cell lengths 5.974, 5.974, 5.974 Å; angles 143.90, 143.90, 51.97 degrees
Atoms (fractional coordinates):
Ag: 0.000 0.000 0.000
Pb: 0.319 0.319 0.000
Se: 0.602 0.602 0.000



No. 8
VASP calculation (PBE) on PrPuZr after structural relaxation.

Calculated values
The calculation puts the volume at 27.91 Å³ per atom. As for the total moment: 1.868 μB per atom. The value obtained for the formation energy is 0.187 eV/atom. As for the symmetry: I4mm. The energy above the most stable polymorph in this dataset is 0 meV/atom.

Cell lengths 7.749, 7.749, 7.749 Å; angles 154.88, 154.88, 35.82 degrees
Atoms (fractional coordinates):
Pr: 0.000 0.000 0.000
Pu: 0.317 0.317 0.000
Zr: 0.671 0.671 0.000



No. 9
VASP calculation (PBE) on ZnIr2Os after structural relaxation.

Calculated values
The calculation puts the volume at 21.75 Å³ per atom. As for the total moment: 0.000 μB per atom. The value obtained for the formation energy is 1.069 eV/atom. As for the symmetry: I-42d.

Cell lengths 7.082, 7.082, 7.082 Å; angles 135.17, 135.17, 65.26 degrees
Atoms (fractional coordinates):
Zn: 0.000 0.000 0.000
Zn: 0.750 0.250 0.500
Ir: 0.140 0.625 0.015
Ir: 0.375 0.390 0.515
Ir: 0.610 0.125 0.985
Ir: 0.875 0.860 0.485
Os: 0.250 0.750 0.500
Os: 0.500 0.500 0.000



No. 10
VASP calculation (PBE) on Tb6HoPu after structural relaxation.

Calculated values
The calculation puts the volume at 32.04 Å³ per atom. As for the total moment: 0.958 μB per atom. The value obtained for the formation energy is 0.372 eV/atom. As for the symmetry: C2/m. The energy above the most stable polymorph in this dataset is 148 meV/atom.

Cell lengths 7.007, 7.007, 6.957 Å; angles 104.11, 104.11, 120.51 degrees
Atoms (fractional coordinates):
Tb: 0.012 0.450 0.247
Tb: 0.235 0.235 0.761
Tb: 0.450 0.012 0.247
Tb: 0.550 0.988 0.753
Tb: 0.765 0.765 0.239
Tb: 0.988 0.550 0.753
Ho: 0.500 0.500 0.500
Pu: 0.000 0.000 0.000



No. 11
VASP calculation (PBE) on TiCuGe2 after structural relaxation.

Calculated values
The calculation puts the volume at 24.86 Å³ per atom. As for the total moment: 0.000 μB per atom. The value obtained for the formation energy is 0.534 eV/atom. As for the symmetry: R-3m.

Cell lengths 6.877, 6.877, 6.877 Å; angles 35.79, 35.79, 35.79 degrees
Atoms (fractional coordinates):
Ti: 0.000 0.000 0.000
Cu: 0.500 0.500 0.500
Ge: 0.380 0.380 0.380
Ge: 0.620 0.620 0.620



No. 12
VASP calculation (PBE) on Tm2TiSi3Pt4 after structural relaxation.

Calculated values
The calculation puts the volume at 17.56 Å³ per atom. For the uncorrected formation energy, the calculation gives -1073 meV/atom. As for the total moment: 0.000 μB per atom. As for the symmetry: P-4m2.

Cell lengths 4.057, 4.057, 10.670 Å; angles 90.00, 90.00, 90.00 degrees
Atoms (fractional coordinates):
Tm: 0.000 0.500 0.237
Tm: 0.500 0.000 0.763
Ti: 0.000 0.000 0.500
Si: 0.000 0.500 0.863
Si: 0.500 0.000 0.137
Si: 0.500 0.500 0.500
Pt: 0.000 0.000 0.000
Pt: 0.000 0.500 0.643
Pt: 0.500 0.000 0.357
Pt: 0.500 0.500 0.000



No. 13
VASP calculation (PBE) on CaAgHIr2 after structural relaxation.

Calculated values
The calculation puts the volume at 17.34 Å³ per atom. As for the total moment: 0.153 μB per atom. The value obtained for the electronic total energy is -21.5 eV for the cell shown. As for the symmetry: P4/mmm.

Cell lengths 5.214, 5.214, 3.190 Å; angles 90.00, 90.00, 90.00 degrees
Atoms (fractional coordinates):
Ca: 0.000 0.000 0.000
Ag: 0.500 0.500 0.500
H: 0.500 0.500 0.000
Ir: 0.000 0.500 0.500
Ir: 0.500 0.000 0.500



No. 14
VASP calculation (PBE) on Sm9ScIn2 after structural relaxation.

Calculated values
The calculation puts the volume at 30.49 Å³ per atom. As for the total moment: 0.000 μB per atom. The value obtained for the formation energy is -0.166 eV/atom. As for the symmetry: P4/mmm.

Cell lengths 4.936, 4.936, 15.015 Å; angles 90.00, 90.00, 90.00 degrees
Atoms (fractional coordinates):
Sm: 0.000 0.000 0.000
Sm: 0.000 0.000 0.334
Sm: 0.000 0.000 0.666
Sm: 0.000 0.500 0.168
Sm: 0.000 0.500 0.500
Sm: 0.000 0.500 0.832
Sm: 0.500 0.000 0.168
Sm: 0.500 0.000 0.500
Sm: 0.500 0.000 0.832
Sc: 0.500 0.500 0.000
In: 0.500 0.500 0.338
In: 0.500 0.500 0.662



No. 15
VASP calculation (PBE) on Sm2Dy2YTh after structural relaxation.

Calculated values
The calculation puts the volume at 32.84 Å³ per atom. As for the total moment: 0.000 μB per atom. The value obtained for the formation energy is 0.165 eV/atom. As for the symmetry: P2_1/m.

Cell lengths 6.612, 6.825, 8.797 Å; angles 90.00, 96.87, 90.00 degrees
Atoms (fractional coordinates):
Sm: 0.059 0.250 0.005
Sm: 0.193 0.250 0.655
Sm: 0.807 0.750 0.345
Sm: 0.941 0.750 0.995
Dy: 0.320 0.000 0.321
Dy: 0.320 0.500 0.321
Dy: 0.680 0.000 0.679
Dy: 0.680 0.500 0.679
Y: 0.175 0.750 0.654
Y: 0.825 0.250 0.346
Th: 0.447 0.750 0.002
Th: 0.553 0.250 0.998



No. 16
VASP calculation (PBE) on SmTm5 after structural relaxation.

Calculated values
The calculation puts the volume at 30.59 Å³ per atom. As for the total moment: 0.000 μB per atom. The value obtained for the formation energy is 0.026 eV/atom. As for the symmetry: Cmmm. The energy above the most stable polymorph in this dataset is 23 meV/atom.

Cell lengths 7.850, 7.850, 4.966 Å; angles 90.00, 90.00, 143.14 degrees
Atoms (fractional coordinates):
Sm: 0.000 0.000 0.000
Tm: 0.167 0.833 0.500
Tm: 0.332 0.668 0.000
Tm: 0.500 0.500 0.500
Tm: 0.668 0.332 0.000
Tm: 0.833 0.167 0.500



No. 17
VASP calculation (PBE) on ScTlRu after structural relaxation.

Calculated values
The calculation puts the volume at 20.33 Å³ per atom. As for the total moment: 0.000 μB per atom. The value obtained for the formation energy is 0.031 eV/atom. As for the symmetry: P3m1.

Cell lengths 3.265, 3.265, 6.604 Å; angles 90.00, 90.00, 120.00 degrees
Atoms (fractional coordinates):
Sc: 0.000 0.000 0.000
Tl: 0.667 0.333 0.392
Ru: 0.333 0.667 0.725



No. 18
VASP calculation (PBE) on Ba3Dy2UAs6 after structural relaxation.

Calculated values
The calculation puts the volume at 30.05 Å³ per atom. As for the total moment: 0.000 μB per atom. The value obtained for the formation energy is -1.155 eV/atom. As for the symmetry: C2/m.

Cell lengths 7.463, 7.463, 7.876 Å; angles 99.08, 99.08, 119.98 degrees
Atoms (fractional coordinates):
Ba: 0.000 0.000 0.000
Ba: 0.329 0.671 0.000
Ba: 0.671 0.329 0.000
Dy: 0.166 0.834 0.500
Dy: 0.834 0.166 0.500
U: 0.500 0.500 0.500
As: 0.115 0.433 0.297
As: 0.252 0.252 0.705
As: 0.433 0.115 0.297
As: 0.567 0.885 0.703
As: 0.748 0.748 0.295
As: 0.885 0.567 0.703



No. 19
VASP calculation (PBE) on NbZnMo after structural relaxation.

Calculated values
The calculation puts the volume at 16.27 Å³ per atom. As for the total moment: 0.000 μB per atom. The value obtained for the formation energy is 0.057 eV/atom. As for the symmetry: I4mm. The energy above the most stable polymorph in this dataset is 30 meV/atom.

Cell lengths 4.884, 4.884, 4.884 Å; angles 139.43, 139.43, 58.72 degrees
Atoms (fractional coordinates):
Nb: 0.000 0.000 0.000
Zn: 0.328 0.328 0.000
Mo: 0.663 0.663 0.000



No. 20
VASP calculation (PBE) on SmScPt after structural relaxation.

Calculated values
The calculation puts the volume at 23.46 Å³ per atom. As for the total moment: 0.000 μB per atom. The value obtained for the formation energy is -0.914 eV/atom. As for the symmetry: Amm2. The energy above the most stable polymorph in this dataset is 0 meV/atom.

Cell lengths 4.703, 7.197, 7.197 Å; angles 119.88, 90.00, 90.00 degrees
Atoms (fractional coordinates):
Sm: 0.000 0.000 0.000
Sm: 0.000 0.182 0.591
Sm: 0.000 0.591 0.182
Sc: 0.500 0.335 0.335
Sc: 0.500 0.590 0.847
Sc: 0.500 0.847 0.590
Pt: 0.000 0.591 0.591
Pt: 0.500 0.257 0.924
Pt: 0.500 0.924 0.257



No. 21
VASP calculation (PBE) on LiNi2Sb2 after structural relaxation.

Calculated values
The calculation puts the volume at 17.70 Å³ per atom. For the uncorrected formation energy, the calculation gives -110 meV/atom. As for the total moment: 0.000 μB per atom. As for the symmetry: P4/mbm. The energy above the most stable polymorph in this dataset is 66 meV/atom.

Cell lengths 7.521, 7.521, 3.130 Å; angles 90.00, 90.00, 90.00 degrees
Atoms (fractional coordinates):
Li: 0.000 0.000 0.000
Li: 0.500 0.500 0.000
Ni: 0.126 0.374 0.500
Ni: 0.374 0.874 0.500
Ni: 0.626 0.126 0.500
Ni: 0.874 0.626 0.500
Sb: 0.162 0.662 0.000
Sb: 0.338 0.162 0.000
Sb: 0.662 0.838 0.000
Sb: 0.838 0.338 0.000



No. 22
VASP calculation (PBE) on CsMg2 after structural relaxation.

Calculated values
The calculation puts the volume at 40.25 Å³ per atom. As for the total moment: 0.000 μB per atom. The value obtained for the formation energy is 0.216 eV/atom. As for the symmetry: Fd-3m.

Cell lengths 6.990, 6.990, 6.990 Å; angles 60.00, 60.00, 60.00 degrees
Atoms (fractional coordinates):
Cs: 0.125 0.125 0.125
Cs: 0.875 0.875 0.875
Mg: 0.000 0.500 0.500
Mg: 0.500 0.000 0.500
Mg: 0.500 0.500 0.000
Mg: 0.500 0.500 0.500



No. 23
VASP calculation (PBE) on CdB2H8 after structural relaxation.

Calculated values
The calculation puts the volume at 10.26 Å³ per atom. As for the total moment: 0.000 μB per atom. As for the symmetry: C2/c. The energy above the most stable polymorph in this dataset is 0 meV/atom.

Cell lengths 6.675, 6.675, 7.344 Å; angles 123.10, 123.10, 64.77 degrees
Atoms (fractional coordinates):
Cd: 0.002 0.998 0.750
Cd: 0.998 0.002 0.250
B: 0.117 0.675 0.898
B: 0.325 0.883 0.602
B: 0.675 0.117 0.398
B: 0.883 0.325 0.102
H: 0.026 0.322 0.303
H: 0.030 0.318 0.042
H: 0.166 0.755 0.460
H: 0.245 0.834 0.040
H: 0.254 0.482 0.872
H: 0.318 0.030 0.542
H: 0.322 0.026 0.803
H: 0.482 0.254 0.372
H: 0.518 0.746 0.628
H: 0.678 0.974 0.197
H: 0.682 0.970 0.458
H: 0.746 0.518 0.128
H: 0.755 0.166 0.960
H: 0.834 0.245 0.540
H: 0.970 0.682 0.958
H: 0.974 0.678 0.697



No. 24
VASP calculation (PBE) on LiHfPt4 after structural relaxation.

Calculated values
The calculation puts the volume at 15.97 Å³ per atom. As for the total moment: 0.000 μB per atom. The value obtained for the formation energy is -0.701 eV/atom. As for the symmetry: C2/m. The energy above the most stable polymorph in this dataset is 31 meV/atom.

Cell lengths 4.994, 4.994, 4.793 Å; angles 98.27, 98.27, 122.81 degrees
Atoms (fractional coordinates):
Li: 0.000 0.000 0.000
Hf: 0.500 0.500 0.500
Pt: 0.162 0.838 0.500
Pt: 0.339 0.661 0.000
Pt: 0.661 0.339 0.000
Pt: 0.838 0.162 0.500